1.
Tm4PdRh2: relaxed, GGA-PBE.

Geometry as CIF:
```
data_Tm4PdRh2
_symmetry_space_group_name_H-M 'C 1 2/m 1'
_symmetry_Int_Tables_number 12
_cell_length_a 13.725
_cell_length_b 4.129
_cell_length_c 7.014
_cell_angle_alpha 90.00
_cell_angle_beta 119.79
_cell_angle_gamma 90.00
loop_
_symmetry_equiv_pos_as_xyz
'x,y,z'
'-x,-y,-z'
'-x,y,-z'
'x,-y,z'
'x+1/2,y+1/2,z'
'-x+1/2,-y+1/2,-z'
'-x+1/2,y+1/2,-z'
'x+1/2,-y+1/2,z'
loop_
_atom_site_label
_atom_site_type_symbol
_atom_site_fract_x
_atom_site_fract_y
_atom_site_fract_z
Tm1 Tm 0.125 0.000 0.314
Tm2 Tm 0.138 0.500 0.791
Pd1 Pd 0.000 0.500 0.000
Rh1 Rh 0.238 0.500 0.241
```

Output
The excess energy over the best structure of this formula in the dataset is 44 meV per atom. The formation energy comes out at -0.733 eV/atom. Its density of states at the Fermi level is 4.8 states/eV/f.u.

2.
Tm4Pd3Rh: relaxed, GGA-PBE.

Geometry as CIF:
```
data_Tm4Pd3Rh
_symmetry_space_group_name_H-M 'P 4/m m m'
_symmetry_Int_Tables_number 123
_symmetry_space_group_name_Hall '-P 4 2'
_cell_length_a 4.887
_cell_length_b 4.887
_cell_length_c 6.824
_cell_angle_alpha 90.00
_cell_angle_beta 90.00
_cell_angle_gamma 90.00
loop_
_atom_site_label
_atom_site_type_symbol
_atom_site_fract_x
_atom_site_fract_y
_atom_site_fract_z
Tm1 Tm 0.000 0.500 0.247
Pd1 Pd 0.000 0.000 0.000
Pd2 Pd 0.000 0.000 0.500
Pd3 Pd 0.500 0.500 0.500
Rh1 Rh 0.500 0.500 0.000
```

Output
The formation energy comes out at -0.952 eV/atom. Its density of states at the Fermi level is 4.2 states/eV/f.u.

3.
TmPdRh2: relaxed, GGA-PBE.

Geometry as CIF:
```
data_TmPdRh2
_symmetry_space_group_name_H-M 'F m -3 m'
_symmetry_Int_Tables_number 225
_symmetry_space_group_name_Hall '-F 4 2 3'
_cell_length_a 6.458
_cell_length_b 6.458
_cell_length_c 6.458
_cell_angle_alpha 90.00
_cell_angle_beta 90.00
_cell_angle_gamma 90.00
loop_
_atom_site_label
_atom_site_type_symbol
_atom_site_fract_x
_atom_site_fract_y
_atom_site_fract_z
Tm1 Tm 0.000 0.000 0.000
Pd1 Pd 0.000 0.000 0.500
Rh1 Rh 0.250 0.250 0.250
```

Output
The formation energy comes out at -0.453 eV/atom. Its density of states at the Fermi level is 7.7 states/eV/f.u.

4.
Tm3Pd2Rh: relaxed, GGA-PBE.

Geometry as CIF:
```
data_Tm3Pd2Rh
_symmetry_space_group_name_H-M 'C m m m'
_symmetry_Int_Tables_number 65
_symmetry_space_group_name_Hall '-C 2 2'
_cell_length_a 4.867
_cell_length_b 14.588
_cell_length_c 6.832
_cell_angle_alpha 90.00
_cell_angle_beta 90.00
_cell_angle_gamma 90.00
loop_
_atom_site_label
_atom_site_type_symbol
_atom_site_fract_x
_atom_site_fract_y
_atom_site_fract_z
Tm1 Tm 0.000 0.000 0.246
Tm2 Tm 0.000 0.331 0.244
Pd1 Pd 0.000 0.166 0.500
Pd2 Pd 0.000 0.500 0.000
Pd3 Pd 0.000 0.500 0.500
Rh1 Rh 0.000 0.166 0.000
```

Output
The formation energy comes out at -0.958 eV/atom. Its density of states at the Fermi level is 2.3 states/eV/f.u.

5.
Tm3Pd2Rh: relaxed, GGA-PBE.

Geometry as CIF:
```
data_Tm3Pd2Rh
_symmetry_space_group_name_H-M 'P 4/m m m'
_symmetry_Int_Tables_number 123
_symmetry_space_group_name_Hall '-P 4 2'
_cell_length_a 3.399
_cell_length_b 3.399
_cell_length_c 10.492
_cell_angle_alpha 90.00
_cell_angle_beta 90.00
_cell_angle_gamma 90.00
loop_
_atom_site_label
_atom_site_type_symbol
_atom_site_fract_x
_atom_site_fract_y
_atom_site_fract_z
Tm1 Tm 0.000 0.000 0.000
Tm2 Tm 0.000 0.000 0.341
Pd1 Pd 0.500 0.500 0.167
Rh1 Rh 0.500 0.500 0.500
```

Output
The formation energy comes out at -0.957 eV/atom. Its density of states at the Fermi level is 2.8 states/eV/f.u.

6.
Tm5PdRh2: relaxed, GGA-PBE.

Geometry as CIF:
```
data_Tm5PdRh2
_symmetry_space_group_name_H-M 'I 4/m c m'
_symmetry_Int_Tables_number 140
_symmetry_space_group_name_Hall '-I 4 2c'
_cell_length_a 7.443
_cell_length_b 7.443
_cell_length_c 13.329
_cell_angle_alpha 90.00
_cell_angle_beta 90.00
_cell_angle_gamma 90.00
loop_
_atom_site_label
_atom_site_type_symbol
_atom_site_fract_x
_atom_site_fract_y
_atom_site_fract_z
Tm1 Tm 0.000 0.000 0.000
Tm2 Tm 0.164 0.336 0.140
Pd1 Pd 0.000 0.000 0.250
Rh1 Rh 0.138 0.362 0.500
```

Output
The formation energy comes out at -0.771 eV/atom. Its density of states at the Fermi level is 7.3 states/eV/f.u.

7.
TmPdRh: relaxed, GGA-PBE.

Geometry as CIF:
```
data_TmPdRh
_symmetry_space_group_name_H-M 'I 4/m m m'
_symmetry_Int_Tables_number 139
_symmetry_space_group_name_Hall '-I 4 2'
_cell_length_a 3.351
_cell_length_b 3.351
_cell_length_c 20.935
_cell_angle_alpha 90.00
_cell_angle_beta 90.00
_cell_angle_gamma 90.00
loop_
_atom_site_label
_atom_site_type_symbol
_atom_site_fract_x
_atom_site_fract_y
_atom_site_fract_z
Tm1 Tm 0.000 0.000 0.137
Pd1 Pd 0.000 0.000 0.437
Rh1 Rh 0.000 0.000 0.290
```

Output
The excess energy over the best structure of this formula in the dataset is 147 meV per atom. The formation energy comes out at -0.484 eV/atom. Its density of states at the Fermi level is 2.4 states/eV/f.u.

8.
TmPdRh: relaxed, GGA-PBE.

Geometry as CIF:
```
data_TmPdRh
_symmetry_space_group_name_H-M 'I 4 m m'
_symmetry_Int_Tables_number 107
_symmetry_space_group_name_Hall 'I 4 -2'
_cell_length_a 3.421
_cell_length_b 3.421
_cell_length_c 9.277
_cell_angle_alpha 90.00
_cell_angle_beta 90.00
_cell_angle_gamma 90.00
loop_
_atom_site_label
_atom_site_type_symbol
_atom_site_fract_x
_atom_site_fract_y
_atom_site_fract_z
Tm1 Tm 0.000 0.000 0.000
Pd1 Pd 0.000 0.000 0.671
Rh1 Rh 0.000 0.000 0.341
```

Output
The excess energy over the best structure of this formula in the dataset is 11 meV per atom. The formation energy comes out at -0.620 eV/atom. Its density of states at the Fermi level is 2.0 states/eV/f.u.